(1)
First-principles (GGA-PBE) data for a relaxed LiPr2Zn3Pt4 crystal, as listed in Alexandria via LeMat-Bulk.

Geometry as extended XYZ:
```
10
Lattice="4.155 0.000 0.000 0.000 4.155 0.000 0.000 0.000 11.103" Properties=species:S:1:pos:R:3 pbc="T T T"
Li 0.000 0.000 0.000
Pr 0.000 2.078 8.260
Pr 2.078 0.000 2.843
Zn 0.000 2.078 4.086
Zn 2.078 0.000 7.017
Zn 2.078 2.078 0.000
Pt 0.000 0.000 5.552
Pt 0.000 2.078 1.575
Pt 2.078 0.000 9.528
Pt 2.078 2.078 5.552
```

Calculated values
The mass density is 10.96 Mg/m³. The size of the total moment is 0.000 μB/atom. The formation enthalpy at 0 K comes out at -0.772 eV per atom. The density of states at the Fermi level comes out at 3.200 states/eV/cell.

---

(2)
First-principles (GGA-PBE) data for a relaxed CsNbSe2N crystal, as listed in Alexandria via LeMat-Bulk.

Geometry as extended XYZ:
```
5
Lattice="5.813 0.000 0.000 0.000 5.813 0.000 0.000 0.000 4.276" Properties=species:S:1:pos:R:3 pbc="T T T"
Cs 0.000 0.000 0.000
Nb 2.907 2.907 2.138
Se 0.000 2.907 0.000
Se 2.907 0.000 0.000
N 0.000 0.000 2.138
```

Calculated values
As for the formation energy without anion corrections: 2.096 eV per atom. The mass density is 4.57 Mg/m³. The size of the total moment is 0.659 μB/atom. Its distance to the lowest polymorph of the same formula is 2469.2 meV per atom. The density of states at the Fermi level comes out at 7.433 states/eV/cell.

---

(3)
First-principles (GGA-PBE) data for a relaxed CsLaAlTe4 crystal, as listed in Alexandria via LeMat-Bulk.

Geometry as extended XYZ:
```
14
Lattice="7.894 0.000 0.000 0.000 6.658 0.000 -2.945 0.000 10.495" Properties=species:S:1:pos:R:3 pbc="T T T"
Cs 1.794 1.665 0.526
Cs 3.155 4.994 9.970
La 0.367 1.665 5.768
La 4.582 4.994 4.728
Al 1.072 4.994 3.503
Al 3.877 1.665 6.992
Te -2.015 3.387 7.426
Te -2.015 6.600 7.426
Te 1.562 4.994 6.063
Te 3.051 4.994 1.871
Te 1.898 1.665 8.624
Te 3.387 1.665 4.433
Te 6.963 0.058 3.069
Te 6.963 3.271 3.069
```

Calculated values
As for the formation energy without anion corrections: -1.034 eV per atom. The mass density is 4.87 Mg/m³. The size of the total moment is 0.000 μB/atom. The density of states at the Fermi level comes out at 3.365 states/eV/cell.

---

(4)
First-principles (GGA-PBE) data for a relaxed LaMoOs2Ru crystal, as listed in Alexandria via LeMat-Bulk.

Geometry as extended XYZ:
```
5
Lattice="4.765 0.000 0.000 0.000 4.765 0.000 0.000 0.000 4.638" Properties=species:S:1:pos:R:3 pbc="T T T"
La 0.000 0.000 0.000
Mo 2.382 2.382 2.319
Os 0.000 2.382 0.000
Os 2.382 0.000 0.000
Ru 0.000 0.000 2.319
```

Calculated values
The mass density is 11.30 Mg/m³. The size of the total moment is 0.179 μB/atom. The formation enthalpy at 0 K comes out at 2.771 eV per atom. The density of states at the Fermi level comes out at 10.610 states/eV/cell.